(1)
DFT (PBE) results for a relaxed CsAs2Ru2 crystal.

It has space group I4/mmm (No. 139), with a = 4.2289 Å, b = 4.2289 Å, c = 14.2122 Å, α = 90.00°, β = 90.00° and γ = 90.00°. The inequivalent atoms are Cs at (0.0000, 0.0000, 0.0000), As at (0.0000, 0.5000, 0.2500) and Ru at (0.0000, 0.0000, 0.3364).

The calculation puts the magnetic moment at 0.00 μB/f.u. As for the density of states at the Fermi level: 0.557 states/eV per atom. The formation energy comes out at 233 meV/atom.

---

(2)
DFT (PBE) results for a relaxed CsAsRu3 crystal.

It has space group Pm-3m (No. 221), with a = 4.7769 Å, b = 4.7769 Å, c = 4.7769 Å, α = 90.00°, β = 90.00° and γ = 90.00°. The inequivalent atoms are Cs at (0.0000, 0.0000, 0.0000), As at (0.5000, 0.5000, 0.5000) and Ru at (0.0000, 0.5000, 0.5000).

The calculation puts the magnetic moment at 3.45 μB/f.u. As for the density of states at the Fermi level: 1.279 states/eV per atom. For the polymorph energy (0 for the lowest one), the calculation gives 0 meV per atom. The formation energy comes out at 1172 meV/atom.

---

(3)
DFT (PBE) results for a relaxed CsAs2Ru2 crystal.

It has space group I4/mmm (No. 139), with a = 4.1065 Å, b = 4.1065 Å, c = 14.7249 Å, α = 90.00°, β = 90.00° and γ = 90.00°. The inequivalent atoms are Cs at (0.0000, 0.0000, 0.0000), As at (0.0000, 0.0000, 0.3397) and Ru at (0.0000, 0.5000, 0.2500).

The calculation puts the magnetic moment at 0.00 μB/f.u. As for the density of states at the Fermi level: 0.812 states/eV per atom. The formation energy comes out at -404 meV/atom.

---

no.,raw total energy (eV per atom)
1,-5.51
2,-5.49
3,-6.14